! Be2AgAu | the Alexandria database | GGA-PBEsol | optimized geometry; values from VASP
! - distance to the lowest polymorph of the same formula (eV/f.u.) = 0.10
! - ΔE_f (eV per atom) = -0.052
! - theoretical density (kg/m3) = 10757
&SYSTEM
  ibrav = 0, nat = 4, ntyp = 3
/
ATOMIC_SPECIES
Ag 107.87 Ag.upf
Be 9.01 Be.upf
Au 196.97 Au.upf
ATOMIC_POSITIONS crystal
Ag 0.5000 0.5000 0.0000
Be 0.0000 0.0000 0.7419
Au 0.5000 0.5000 0.5000
Be 0.0000 0.0000 0.2581
CELL_PARAMETERS angstrom
2.9142 0.0000 0.0000
0.0000 2.9142 0.0000
0.0000 0.0000 5.8684

! Be2AgSnAu | the Alexandria database | GGA-PBEsol | optimized geometry; values from VASP
! - ΔE_f (eV per atom) = 0.977
! - theoretical density (kg/m3) = 7130
&SYSTEM
  ibrav = 0, nat = 5, ntyp = 4
/
ATOMIC_SPECIES
Be 9.01 Be.upf
Ag 107.87 Ag.upf
Sn 118.71 Sn.upf
Au 196.97 Au.upf
ATOMIC_POSITIONS crystal
Be 0.5000 0.0000 0.0000
Ag 0.0000 0.0000 0.5000
Sn 0.0000 0.0000 0.0000
Au 0.5000 0.5000 0.5000
Be 0.0000 0.5000 0.0000
CELL_PARAMETERS angstrom
4.4402 0.0000 0.0000
0.0000 4.4402 0.0000
0.0000 0.0000 5.2164